# 1
The following is a DFT calculation (PBE-GGA) of an optimized crystal structure of TlAgOs2.

- SG = F-43m
- ρ (g cm⁻³) = 16.93
- crystal system = cubic
- DFT total energy (eV/atom) = -5.87

Cell: 4.581 4.581 4.581 Å, 60.00 60.00 60.00°
Sites, in units of the cell vectors:
Tl: 0.000 0.000 0.000
Ag: 0.250 0.250 0.250
Os: 0.500 0.500 0.500
Os: 0.750 0.750 0.750



# 2
The following is a DFT calculation (PBE-GGA) of an optimized crystal structure of LaTlAu2.

- SG = P4/mmm
- ρ (g cm⁻³) = 12.40
- crystal system = tetragonal
- DFT total energy (eV/atom) = -3.94

Cell: 3.654 3.654 7.396 Å, 90.00 90.00 90.00°
Sites, in units of the cell vectors:
La: 0.000 0.000 0.000
Tl: 0.000 0.000 0.500
Au: 0.500 0.500 0.249
Au: 0.500 0.500 0.751



# 3
The following is a DFT calculation (PBE-GGA) of an optimized crystal structure of NbAsIr2.

- SG = F-43m
- ρ (g cm⁻³) = 14.61
- crystal system = cubic
- DFT total energy (eV/atom) = -8.14

Cell: 4.461 4.461 4.461 Å, 60.00 60.00 60.00°
Sites, in units of the cell vectors:
Nb: 0.000 0.000 0.000
As: 0.750 0.750 0.750
Ir: 0.250 0.250 0.250
Ir: 0.500 0.500 0.500